This record from Alexandria describes an optimized crystal structure of Y3TeRh. The functional is PBE.

The structure belongs to space group Pm-3m (No. 221); the cell edges are 5.361, 5.361 and 5.361 Å and the angles 90.00°, 90.00° and 90.00°. The inequivalent atoms are Y at (0.000, 0.000, 0.500), Te at (0.500, 0.500, 0.500) and Rh at (0.000, 0.000, 0.000).

For the total energy, the calculation gives -6.540 eV per atom. The crystal system is cubic. The uncorrected formation energy comes out at -0.563 eV/atom. The calculation puts the density at 5.4 g cm⁻³. For the offset from the most stable computed form, the calculation gives 278 meV per atom.

***

This record from Alexandria describes an optimized crystal structure of La5IrOs. The functional is PBE.

The structure belongs to space group C2/c (No. 15); the cell edges are 10.707, 8.919 and 10.688 Å and the angles 90.00°, 109.92° and 90.00°. The inequivalent atoms are La at (0.000, 0.248, 0.250), La at (0.106, 0.167, 0.655), La at (0.178, 0.453, 0.008), Ir at (0.000, 0.431, 0.750) and Os at (0.250, 0.250, 0.500).

The calculation puts the formation energy at -142 kJ/mol of formula units. For the total energy, the calculation gives -6.600 eV per atom. The crystal system is monoclinic. The calculation puts the density at 7.5 g cm⁻³.

***

This record from Alexandria describes an optimized crystal structure of CrPbS2. The functional is PBE.

The structure belongs to space group I4/mcm (No. 140); the cell edges are 7.473, 7.473 and 5.967 Å and the angles 90.00°, 90.00° and 90.00°. The inequivalent atoms are Cr at (0.000, 0.500, 0.250), Pb at (0.000, 0.000, 0.250) and S at (0.157, 0.343, 0.000).

For the total energy, the calculation gives -5.661 eV per atom. The crystal system is tetragonal. The uncorrected formation energy comes out at -0.264 eV/atom. The calculation puts the density at 6.4 g cm⁻³.

***

This record from Alexandria describes an optimized crystal structure of GaNi2HIr. The functional is PBE.

The structure belongs to space group P4/mmm (No. 123); the cell edges are 3.608, 3.608 and 4.064 Å and the angles 90.00°, 90.00° and 90.00°. The inequivalent atoms are Ga at (0.000, 0.000, 0.000), Ni at (0.000, 0.500, 0.500), H at (0.000, 0.000, 0.500) and Ir at (0.500, 0.500, 0.000).

For the total energy, the calculation gives -5.439 eV per atom. The crystal system is tetragonal. The calculation puts the density at 11.9 g cm⁻³. For the offset from the most stable computed form, the calculation gives 139 meV per atom.

***

This record from Alexandria describes an optimized crystal structure of RbSi. The functional is PBE.

The structure belongs to space group Fm-3m (No. 225); the cell edges are 7.488, 7.488 and 7.488 Å and the angles 90.00°, 90.00° and 90.00°. The inequivalent atoms are Rb at (0.000, 0.000, 0.000) and Si at (0.000, 0.000, 0.500).

For the total energy, the calculation gives -2.041 eV per atom. The crystal system is cubic. The uncorrected formation energy comes out at 1.154 eV/atom. The calculation puts the density at 1.8 g cm⁻³. For the offset from the most stable computed form, the calculation gives 1203 meV per atom.

***

This record from Alexandria describes an optimized crystal structure of PuMgAl. The functional is PBE.

The structure belongs to space group C2/m (No. 12); the cell edges are 12.349, 2.888 and 8.082 Å and the angles 90.00°, 103.70° and 90.00°. The inequivalent atoms are Pu at (0.048, 0.000, 0.344), Mg at (0.222, 0.000, 0.715) and Al at (0.116, 0.000, 0.007).

The calculation puts the formation energy at 70 kJ/mol of formula units. For the total energy, the calculation gives -6.316 eV per atom. The crystal system is monoclinic. The calculation puts the density at 7.0 g cm⁻³.